Run A
The following is a DFT calculation (PBE) of a relaxed Be3Si crystal.

abc: 4.297 4.297 4.297
angles: 90.00 90.00 90.00
Element x y z (fractional)
1 Be 0.000 0.250 0.500
2 Be 0.000 0.750 0.500
3 Be 0.250 0.500 0.000
4 Be 0.500 0.000 0.250
5 Be 0.500 0.000 0.750
6 Be 0.750 0.500 0.000
7 Si 0.000 0.000 0.000
8 Si 0.500 0.500 0.500

Computed properties:
* space group: No. 223
* volume: 79.3 Å³/cell
* theoretical density: 2.31 g cm⁻³

Run B
The following is a DFT calculation (PBE) of a relaxed Be3Si crystal.

abc: 3.811 3.811 7.589
angles: 107.28 107.28 56.81
Element x y z (fractional)
1 Be 0.000 0.000 0.000
2 Be 0.028 0.028 0.715
3 Be 0.121 0.121 0.280
4 Be 0.413 0.413 0.826
5 Be 0.725 0.725 0.778
6 Be 0.755 0.755 0.438
7 Si 0.460 0.460 0.509
8 Si 0.718 0.718 0.115

Computed properties:
* space group: No. 8
* volume: 86.8 Å³/cell
* theoretical density: 2.11 g cm⁻³

The computed energies, referenced to the most stable structure and given in kJ/mol of atoms, are run A 11.3; run B 0.0.